Record 1
The following is a DFT calculation (GGA-PBE) of a relaxed Pr6H2N3 crystal.

Values from the calculation:
* energy: -139.8 eV for the cell shown

Cell lengths 6.3814, 11.0572, 6.5358 Å; angles 90.00, 108.97, 90.00 degrees
Space group C2/m (No. 12)
One atom of each set of equivalent atoms:
Pr: 0.2406 0.1677 0.2251
Pr: 0.2432 0.5000 0.2238
H: 0.0000 0.1677 0.5000
N: 0.0000 0.0000 0.0000
N: 0.0000 0.3347 0.0000


Record 2
The following is a DFT calculation (GGA-PBE) of a relaxed AlCrCl2 crystal.

Values from the calculation:
* formation energy (no corrections): -0.400 eV/atom
* energy: -37.3 eV for the cell shown
* energy relative to the lowest polymorph listed for this composition: 155 meV per atom

Cell lengths 3.3205, 6.0343, 9.0927 Å; angles 90.00, 90.00, 90.00 degrees
Space group Cmm2 (No. 35)
One atom of each set of equivalent atoms:
Al: 0.0000 0.0000 0.0000
Cr: 0.0000 0.5000 0.7753
Cl: 0.0000 0.0000 0.5887
Cl: 0.0000 0.5000 0.1879